Here is an optimized crystal structure of Cs3Fe2F9 from the Alexandria database. Energies are from GGA+U.

a b c (Å): 6.4372 6.4372 15.2324
angles (deg): 90.00 90.00 120.00
Space group P6_3/mmc (No. 194)
Unique sites:
Cs: 0.3333 0.6667 0.0648 (multiplicity 4)
Cs: 0.3333 0.6667 0.7500 (multiplicity 2)
Fe: 0.0000 0.0000 0.1537 (multiplicity 4)
F: 0.1322 0.2645 0.2500 (multiplicity 6)
F: 0.1500 0.3000 0.5956 (multiplicity 12)

Values from the calculation:
As for the density: 4140 kg/m³. Its density of states at the Fermi level is 0.00 states/eV/cell. The value obtained for the final energy is -4.883 eV per atom. Its crystal system is hexagonal. The magnetization comes out at 10.0 μB per formula unit.